This record from the Alexandria database describes an optimized crystal structure of HfSbTe2O. The functional is PBE.

Values from the calculation:
* DOS(E_F): 2.463 states/eV/atom
* distance to the lowest polymorph of the same formula: 56.9 kJ per mole of atoms
* final energy: -4.499 eV/atom

Cell: 5.417 5.417 5.565 Å, 90.00 90.00 90.00°
Element x y z (fractional)
Hf  0.000  0.000  0.000
Sb  0.000  0.000  0.500
Te  0.000  0.500  0.000
Te  0.500  0.000  0.000
O  0.500  0.500  0.500